[1]
Computed, not measured: Sr4ErCd5 after structural relaxation at the GGA-PBE level of DFT.

Cell and atoms, written as CIF:
```
data_Sr4ErCd5
_cell_length_a 3.953
_cell_length_b 3.953
_cell_length_c 20.174
_cell_angle_alpha 90.00
_cell_angle_beta 90.00
_cell_angle_gamma 90.00
_symmetry_space_group_name_H-M 'P 4/m m m'
_symmetry_Int_Tables_number 123
_symmetry_space_group_name_Hall '-P 4 2'
loop_
_atom_site_label
_atom_site_type_symbol
_atom_site_fract_x
_atom_site_fract_y
_atom_site_fract_z
_atom_site_occupancy
Sr1 Sr 0.000 0.000 0.104 1
Sr2 Sr 0.000 0.000 0.311 1
Er1 Er 0.000 0.000 0.500 1
Cd1 Cd 0.500 0.500 0.000 1
Cd2 Cd 0.500 0.500 0.207 1
Cd3 Cd 0.500 0.500 0.418 1
```

Energy of formation, meV/atom: -318
VASP energy, eV/atom: -1.9045

[2]
Computed, not measured: K2BaCa after structural relaxation at the GGA-PBE level of DFT.

Cell and atoms, written as CIF:
```
data_K2BaCa
_cell_length_a 5.883
_cell_length_b 5.883
_cell_length_c 13.827
_cell_angle_alpha 90.00
_cell_angle_beta 90.00
_cell_angle_gamma 90.00
_symmetry_space_group_name_H-M 'I 4/m m m'
_symmetry_Int_Tables_number 139
_symmetry_space_group_name_Hall '-I 4 2'
loop_
_atom_site_label
_atom_site_type_symbol
_atom_site_fract_x
_atom_site_fract_y
_atom_site_fract_z
_atom_site_occupancy
K1 K 0.000 0.500 0.250 1
Ba1 Ba 0.000 0.000 0.000 1
Ca1 Ca 0.000 0.000 0.500 1
```

Energy above the lowest structure with this stoichiometry, eV/atom: 0.065
Energy of formation, meV/atom: 151
VASP energy, eV/atom: -1.3793